[1]
The following is a PBE-GGA calculation of a relaxed structure of HfZrMnNb2, from Alexandria via LeMat-Bulk.

## Properties
ΔE_f, kJ/mol of atoms: 194.7
Calculated volume, Å³/atom: 24.25

```
data_HfZrMnNb2
_symmetry_space_group_name_H-M 'P 4/m m m'
_symmetry_Int_Tables_number 123
_symmetry_space_group_name_Hall '-P 4 2'
_cell_length_a 4.872
_cell_length_b 4.872
_cell_length_c 5.107
_cell_angle_alpha 90.00
_cell_angle_beta 90.00
_cell_angle_gamma 90.00
loop_
_atom_site_label
_atom_site_type_symbol
_atom_site_fract_x
_atom_site_fract_y
_atom_site_fract_z
Hf1 Hf 0.000 0.000 0.000
Zr1 Zr 0.000 0.000 0.500
Mn1 Mn 0.500 0.500 0.500
Nb1 Nb 0.000 0.500 0.000
```

[2]
The following is a PBE-GGA calculation of a relaxed structure of NdHf2Mn, from Alexandria via LeMat-Bulk.

## Properties
ΔE_f, kJ/mol of atoms: 4.6
Calculated volume, Å³/atom: 21.79

```
data_NdHf2Mn
_symmetry_space_group_name_H-M 'P 4/m m m'
_symmetry_Int_Tables_number 123
_symmetry_space_group_name_Hall '-P 4 2'
_cell_length_a 3.229
_cell_length_b 3.229
_cell_length_c 8.360
_cell_angle_alpha 90.00
_cell_angle_beta 90.00
_cell_angle_gamma 90.00
loop_
_atom_site_label
_atom_site_type_symbol
_atom_site_fract_x
_atom_site_fract_y
_atom_site_fract_z
Nd1 Nd 0.000 0.000 0.000
Hf1 Hf 0.500 0.500 0.322
Mn1 Mn 0.000 0.000 0.500
```